Crystalline SrHfMnI2 at its relaxed geometry, computed with PBE-GGA.

Computed properties:
* symmetry: P4/mmm, No. 123
* E_form (uncorrected): 0.977 eV/atom

Geometry as POSCAR:
```
SrHfMnI2
1.0
5.271 0.000 0.000
0.000 5.404 0.000
0.000 0.000 5.271
Hf Sr Mn I
1 1 1 2
Cartesian
2.636 2.702 2.636
0.000 2.702 0.000
0.000 0.000 0.000
0.000 0.000 2.636
2.636 0.000 0.000
```

---

Crystalline HfMnTc2I at its relaxed geometry, computed with PBE-GGA.

Computed properties:
* symmetry: P4/mmm, No. 123
* E_form (uncorrected): 1.526 eV/atom

Geometry as POSCAR:
```
HfMnTc2I
1.0
4.801 0.000 0.000
0.000 4.574 0.000
0.000 0.000 4.801
Tc Hf I Mn
2 1 1 1
Cartesian
0.000 0.000 2.401
2.401 0.000 0.000
2.401 2.287 2.401
0.000 0.000 0.000
0.000 2.287 0.000
```

---

Crystalline HfMnTeI2 at its relaxed geometry, computed with PBE-GGA.

Computed properties:
* symmetry: P4/mmm, No. 123
* energy above the most stable polymorph in this dataset: 0.000 eV/atom
* E_form (uncorrected): 0.187 eV/atom

Geometry as POSCAR:
```
HfMnTeI2
1.0
-3.577 1.805 -4.086
-4.154 -3.268 2.192
-1.599 4.223 3.266
I Hf Te Mn
2 1 1 1
Cartesian
-2.077 -1.634 1.096
-1.788 0.903 -2.043
0.000 0.000 0.000
-0.800 2.112 1.633
-4.665 1.380 0.686
```